VASP calculation (SCAN) on SrPtNO2 at its PBEsol-relaxed geometry.

Cell: 4.1854 4.1854 3.6901 Å, 90.00 90.00 90.00°
Last column: nearest neighbours and their distance in Å.
Fractional positions:
Sr 0.0000 0.0000 0.0000  8 O 2.79, 4 N 2.96
Pt 0.5000 0.5000 0.5000  2 N 1.85
N 0.5000 0.5000 0.0000  2 Pt 1.85
O 0.0000 0.5000 0.5000  2 Pt 2.09
O 0.5000 0.0000 0.5000  2 Pt 2.09

## Properties
* electronic total energy: -23.787 eV per atom
* crystal system: tetragonal

---

VASP calculation (SCAN) on CaTe2Ir at its PBEsol-relaxed geometry.

Cell: 8.2961 8.2961 8.2961 Å, 27.59 27.59 27.59°
Last column: nearest neighbours and their distance in Å.
Fractional positions:
Ca 0.0000 0.0000 0.0000  3 Te 3.10, 3 Ir 3.12
Te 0.5331 0.5331 0.5331  3 Ir 2.52
Te 0.7543 0.7543 0.7543  3 Ca 3.10
Ir 0.2445 0.2445 0.2445  3 Te 2.52

## Properties
* energy above the lowest structure with this stoichiometry: 0.0 meV/atom
* crystal system: trigonal

---

VASP calculation (SCAN) on KGaIO2 at its PBEsol-relaxed geometry.

Cell: 4.1482 4.1482 5.6136 Å, 90.00 90.00 90.00°
Last column: nearest neighbours and their distance in Å.
Fractional positions:
K 0.0000 0.0000 0.0000  4 I 2.93
Ga 0.5000 0.5000 0.5000  4 O 2.07
I 0.5000 0.5000 0.0000  2 Ga 2.81, 4 K 2.93
O 0.0000 0.5000 0.5000  2 Ga 2.07
O 0.5000 0.0000 0.5000  2 Ga 2.07

## Properties
* electronic total energy: -15.507 eV per atom
* crystal system: tetragonal

---

VASP calculation (SCAN) on NbPtPb3 at its PBEsol-relaxed geometry.

Cell: 5.3442 5.3442 5.3442 Å, 90.00 90.00 90.00°
Last column: nearest neighbours and their distance in Å.
Fractional positions:
Nb 0.0000 0.0000 0.0000  6 Pb 2.67
Pt 0.5000 0.5000 0.5000  12 Pb 3.78
Pb 0.0000 0.0000 0.5000  2 Nb 2.67
Pb 0.0000 0.5000 0.0000  2 Nb 2.67
Pb 0.5000 0.0000 0.0000  2 Nb 2.67

## Properties
* ΔE_f: 0.9573 eV per atom
* crystal system: cubic

---

VASP calculation (SCAN) on Co7Ru2O12 at its PBEsol-relaxed geometry.

Cell: 5.7286 5.8280 12.5538 Å, 100.93 102.06 91.75°
Last column: nearest neighbours and their distance in Å.
Fractional positions:
Co 0.0000 0.0000 0.0000  6 O 1.92-1.93
Co 0.0008 0.4980 0.9999  6 O 1.91-1.94
Co 0.0077 0.4870 0.5002  6 O 1.91-1.94
Co 0.1326 0.3618 0.2484  4 O 1.89-1.92
Co 0.2322 0.9562 0.4259  4 O 1.89-1.93
Co 0.3249 0.8310 0.1646  6 O 1.90-1.93
Co 0.3370 0.8096 0.6613  6 O 1.89-1.92
Co 0.4634 0.7338 0.9274  4 O 1.86-1.89
Co 0.5084 0.4895 0.4996  6 O 1.92-1.94
Co 0.5422 0.2762 0.0784  4 O 1.86-1.93
Co 0.6506 0.1734 0.8291  6 O 1.97-2.08
Co 0.6705 0.1688 0.3364  6 O 1.90-1.93
Co 0.7859 0.0219 0.5743  4 O 1.87-1.92
Co 0.8809 0.6362 0.7534  4 O 1.88-1.92
Ru 0.1804 0.1722 0.8274  6 O 2.01-2.03
Ru 0.3400 0.3200 0.6756  6 O 2.01-2.03
Ru 0.6789 0.6657 0.3261  6 O 2.00-2.04
Ru 0.8287 0.8226 0.1745  6 O 2.00-2.03
O 0.0825 0.5906 0.1589  3 Co 1.89-1.92, 1 Ru 2.03
O 0.0870 0.0501 0.1603  3 Co 1.90-1.93, 1 Ru 2.01
O 0.1036 0.5694 0.6600  3 Co 1.90-1.93, 1 Ru 2.03
O 0.1071 0.0418 0.6610  2 Co 1.92, 2 Ru 2.02-2.03
O 0.2198 0.2528 0.9937  3 Co 1.92-1.93, 1 Ru 2.01
O 0.2203 0.7594 0.0070  4 Co 1.87-1.92
O 0.2592 0.2706 0.5092  3 Co 1.91-1.94, 1 Ru 2.01
O 0.2646 0.7082 0.5039  4 Co 1.89-1.92
O 0.4084 0.9131 0.8181  3 Co 1.86-1.99, 1 Ru 2.03
O 0.4340 0.4294 0.8420  2 Co 1.87-1.97, 2 Ru 2.01-2.02
O 0.4372 0.9139 0.3238  3 Co 1.90-1.93, 1 Ru 2.03
O 0.4512 0.4060 0.3394  3 Co 1.90-1.93, 1 Ru 2.02
O 0.5514 0.5928 0.1610  2 Co 1.93, 2 Ru 2.00-2.01
O 0.5631 0.0562 0.6648  3 Co 1.87-2.00, 1 Ru 2.03
O 0.5651 0.5782 0.6599  3 Co 1.91-1.94, 1 Ru 2.02
O 0.5809 0.0646 0.1776  3 Co 1.90-1.93, 1 Ru 2.03
O 0.7487 0.2669 0.4942  4 Co 1.89-1.92
O 0.7618 0.7055 0.4919  3 Co 1.92-1.93, 1 Ru 2.00
O 0.7773 0.2409 0.9953  4 Co 1.86-2.02
O 0.7841 0.7473 0.0080  3 Co 1.89-1.94, 1 Ru 2.01
O 0.9085 0.9427 0.3398  2 Co 1.92-1.93, 2 Ru 2.01
O 0.9105 0.4097 0.3415  3 Co 1.89-1.92, 1 Ru 2.04
O 0.9222 0.9451 0.8398  3 Co 1.90-2.08, 1 Ru 2.01
O 0.9285 0.4073 0.8413  3 Co 1.88-2.03, 1 Ru 2.03

## Properties
* electronic total energy: -13.964 eV per atom
* crystal system: triclinic

---

VASP calculation (SCAN) on SrHfNi3 at its PBEsol-relaxed geometry.

Cell: 4.6813 4.6813 4.6813 Å, 90.00 90.00 90.00°
Last column: nearest neighbours and their distance in Å.
Fractional positions:
Sr 0.0000 0.0000 0.0000  12 Ni 3.31
Hf 0.5000 0.5000 0.5000  6 Ni 2.34
Ni 0.0000 0.5000 0.5000  2 Hf 2.34
Ni 0.5000 0.0000 0.5000  2 Hf 2.34
Ni 0.5000 0.5000 0.0000  2 Hf 2.34

## Properties
* ΔE_f: 0.5123 eV per atom
* crystal system: cubic